A geometry-optimized V3AgO8 structure, computed with PBE with a Hubbard U.

Unit cell a=7.991 b=7.991 c=7.991 alpha=37.30 beta=37.30 gamma=37.30
Sites, in units of the cell vectors:
1 V 0.000 0.000 0.000
2 V 0.258 0.258 0.258
3 V 0.742 0.742 0.742
4 Ag 0.500 0.500 0.500
5 O 0.015 0.769 0.365
6 O 0.184 0.184 0.184
7 O 0.231 0.635 0.985
8 O 0.365 0.015 0.769
9 O 0.635 0.985 0.231
10 O 0.769 0.365 0.015
11 O 0.816 0.816 0.816
12 O 0.985 0.231 0.635

Properties
Energy relative to the lowest polymorph listed for this composition = 12.2 kJ/mol of atoms